VASP calculation (PBE) on a relaxed ThPaCu10 crystal.

a = 4.103 Å, b = 5.083 Å, c = 8.797 Å
α = 90.00°, β = 90.00°, γ = 90.00°
Space group Pmmm (No. 47)
Symmetry-distinct sites (fractional):
Th1 0.000 0.000 0.000
Pa1 0.000 0.500 0.500
Cu1 0.000 0.000 0.338
Cu2 0.000 0.500 0.172
Cu3 0.500 0.000 0.500
Cu4 0.500 0.253 0.255
Cu5 0.500 0.500 0.000

Output
V = 183.4 Å³/cell
electronic total energy = -4.88 eV/atom
crystal system = orthorhombic
formation enthalpy at 0 K = -60 meV/atom
spin magnetization = 0.44 μB per formula unit